P3N | GGA-PBE | relaxed

## Properties
D(E_F): 1.34 states/eV/cell
total magnetic moment: 0.0 μB/f.u.
DFT total energy: -5.932 eV/atom
energy relative to the elements, uncorrected: 206 meV/atom
offset from the most stable computed form: 0.05 kcal/mol of atoms
crystal system: monoclinic

Geometry as CIF:
```
data_P3N
_symmetry_space_group_name_H-M 'P 1'
_symmetry_Int_Tables_number 1
_cell_length_a 6.0902
_cell_length_b 2.6471
_cell_length_c 10.4114
_cell_angle_alpha 90.00
_cell_angle_beta 121.29
_cell_angle_gamma 90.00
loop_
_symmetry_equiv_pos_as_xyz
'x,y,z'
loop_
_atom_site_label
_atom_site_fract_x
_atom_site_fract_y
_atom_site_fract_z
_atom_site_occupancy
P1 0.6708 0.0000 0.5294 1
P2 0.6708 0.5000 0.0294 1
P3 0.0564 0.0000 0.9699 1
P4 0.0564 0.5000 0.4699 1
P5 0.0478 0.0000 0.7602 1
P6 0.0478 0.5000 0.2602 1
N1 0.7491 0.0000 0.9530 1
N2 0.7491 0.5000 0.4530 1
```

***

P3N | GGA-PBE | relaxed

## Properties
D(E_F): 1.49 states/eV/cell
total magnetic moment: 0.0 μB/f.u.
DFT total energy: -5.913 eV/atom
energy relative to the elements, uncorrected: 226 meV/atom
offset from the most stable computed form: 0.49 kcal/mol of atoms
crystal system: monoclinic

Geometry as CIF:
```
data_P3N
_symmetry_space_group_name_H-M 'P 1'
_symmetry_Int_Tables_number 1
_cell_length_a 3.3823
_cell_length_b 2.6427
_cell_length_c 7.5471
_cell_angle_alpha 90.00
_cell_angle_beta 94.34
_cell_angle_gamma 90.00
loop_
_symmetry_equiv_pos_as_xyz
'x,y,z'
loop_
_atom_site_label
_atom_site_fract_x
_atom_site_fract_y
_atom_site_fract_z
_atom_site_occupancy
P1 0.0575 0.0000 0.1728 1
P2 0.3321 0.0000 0.8749 1
P3 0.5847 0.0000 0.3693 1
N1 0.1376 0.5000 0.7748 1
```

***

PN | GGA-PBE | relaxed

## Properties
D(E_F): 5.84 states/eV/cell
total magnetic moment: 0.0 μB/f.u.
DFT total energy: -5.632 eV/atom
energy relative to the elements, uncorrected: 1236 meV/atom
offset from the most stable computed form: 28.93 kcal/mol of atoms
crystal system: cubic

Geometry as CIF:
```
data_PN
_symmetry_space_group_name_H-M 'P 1'
_symmetry_Int_Tables_number 1
_cell_length_a 4.6924
_cell_length_b 4.6924
_cell_length_c 4.6924
_cell_angle_alpha 90.00
_cell_angle_beta 90.00
_cell_angle_gamma 90.00
loop_
_symmetry_equiv_pos_as_xyz
'x,y,z'
loop_
_atom_site_label
_atom_site_fract_x
_atom_site_fract_y
_atom_site_fract_z
_atom_site_occupancy
P1 0.0000 0.0000 0.0000 1
P2 0.0000 0.5000 0.5000 1
P3 0.5000 0.0000 0.5000 1
P4 0.5000 0.5000 0.0000 1
N1 0.2500 0.2500 0.2500 1
N2 0.2500 0.7500 0.7500 1
N3 0.7500 0.2500 0.7500 1
N4 0.7500 0.7500 0.2500 1
```